VASP calculation (PBE) on an optimized crystal structure of CeTlPb4.

Cell: 10.078 4.767 8.153 Å, 90.00 90.00 90.00°
Positions (direct):
Ce 0.250 0.000 0.242
Ce 0.750 0.000 0.758
Tl 0.250 0.000 0.833
Tl 0.750 0.000 0.167
Pb 0.000 0.000 0.500
Pb 0.019 0.500 0.195
Pb 0.250 0.500 0.547
Pb 0.481 0.500 0.195
Pb 0.500 0.000 0.500
Pb 0.519 0.500 0.805
Pb 0.750 0.500 0.453
Pb 0.981 0.500 0.805

Total energy ... -3.89 eV per atom
Space group ... Pmma
Energy above the lowest structure with this stoichiometry ... 6 meV/atom
Calculated formation energy ... -37 meV per atom

***

VASP calculation (PBE) on an optimized crystal structure of Ce5Tl3Pb.

Cell: 9.679 9.679 6.594 Å, 90.00 90.00 120.00°
Positions (direct):
Ce 0.000 0.292 0.250
Ce 0.000 0.708 0.750
Ce 0.292 0.000 0.250
Ce 0.292 0.292 0.750
Ce 0.333 0.667 0.000
Ce 0.333 0.667 0.500
Ce 0.667 0.333 0.000
Ce 0.667 0.333 0.500
Ce 0.708 0.000 0.750
Ce 0.708 0.708 0.250
Tl 0.000 0.372 0.750
Tl 0.000 0.628 0.250
Tl 0.372 0.000 0.750
Tl 0.372 0.372 0.250
Tl 0.628 0.000 0.250
Tl 0.628 0.628 0.750
Pb 0.000 0.000 0.000
Pb 0.000 0.000 0.500

Total energy ... -4.74 eV per atom
Space group ... P6_3/mcm
Calculated formation energy ... -242 meV per atom

***

VASP calculation (PBE) on an optimized crystal structure of Ce5TlPb6.

Cell: 9.332 9.332 9.332 Å, 149.41 119.51 69.30°
Positions (direct):
Ce 0.000 0.000 0.000
Ce 0.168 0.668 0.500
Ce 0.352 0.352 0.000
Ce 0.648 0.648 0.000
Ce 0.832 0.332 0.500
Tl 0.500 0.000 0.500
Pb 0.076 0.830 0.247
Pb 0.240 0.500 0.740
Pb 0.417 0.170 0.247
Pb 0.583 0.830 0.753
Pb 0.760 0.500 0.260
Pb 0.924 0.170 0.753

Total energy ... -4.89 eV per atom
Space group ... Immm
Calculated formation energy ... -365 meV per atom

***

VASP calculation (PBE) on an optimized crystal structure of CeTlPb2.

Cell: 4.873 4.873 4.869 Å, 90.00 90.00 90.00°
Positions (direct):
Ce 0.000 0.000 0.000
Tl 0.500 0.500 0.000
Pb 0.000 0.500 0.500
Pb 0.500 0.000 0.500

Total energy ... -4.26 eV per atom
Space group ... P4/mmm
Energy above the lowest structure with this stoichiometry ... 0 meV/atom
Calculated formation energy ... -328 meV per atom

***

Question: What is the calculated formation energy in the fourth record?
Answer: -328 meV per atom